The following is a PBE calculation of a relaxed KMgRu2 crystal, from the Alexandria database.

Cell and atoms, written as POSCAR:
```
KMgRu2
1.0
-0.198 -2.834 1.882
3.269 0.363 0.890
-2.088 4.122 5.987
K Mg Ru
1 1 2
Direct
0.500 0.500 0.250
0.500 0.500 0.750
0.000 0.000 0.904
0.000 0.000 0.596
```

Results
- volume (Å³ per cell) = 87.8
- formation enthalpy at 0 K (eV per atom) = 0.823
- symmetry = P4/mmm (123)